# 1
Sm2HoTh3Te6 | PBE | relaxed

Output
**Final energy**: -5.76 eV/atom
**Formation energy (no corrections)**: -1.163 eV/atom

Cell lengths 10.194, 10.194, 9.150 Å; angles 109.29, 109.29, 24.41 degrees
Fractional coordinates of all 12 atoms:
Sm  0.167  0.167  0.333
Sm  0.833  0.833  0.667
Ho  0.500  0.500  0.000
Th  0.169  0.169  0.834
Th  0.500  0.500  0.500
Th  0.831  0.831  0.166
Te  0.001  0.001  0.240
Te  0.332  0.332  0.421
Te  0.338  0.338  0.915
Te  0.662  0.662  0.085
Te  0.668  0.668  0.579
Te  0.999  0.999  0.760

# 2
Nd4Pt2Pb | PBE | relaxed

Output
**Final energy**: -5.68 eV/atom
**ΔH_f (0 K)**: -0.70 eV per atom

Cell lengths 9.690, 8.448, 8.227 Å; angles 71.05, 55.54, 53.41 degrees
Fractional coordinates of all 14 atoms:
Nd  0.143  0.278  0.300
Nd  0.222  0.700  0.722
Nd  0.278  0.143  0.778
Nd  0.300  0.778  0.143
Nd  0.700  0.222  0.857
Nd  0.722  0.857  0.222
Nd  0.778  0.300  0.278
Nd  0.857  0.722  0.700
Pt  0.000  0.000  0.000
Pt  0.000  0.000  0.500
Pt  0.000  0.500  0.000
Pt  0.500  0.000  0.000
Pb  0.375  0.375  0.375
Pb  0.625  0.625  0.625

Question: Which value of final energy does entry 2 give?
Answer: -5.68 eV/atom